Record 1
A plane-wave DFT calculation with GGA-PBE was carried out for a relaxed structure of Pa2Mn2Ge. Values from VASP.

```
&SYSTEM
  ibrav = 0, nat = 10, ntyp = 3
/
ATOMIC_SPECIES
Pa 231.04 Pa.upf
Mn 54.94 Mn.upf
Ge 72.64 Ge.upf
CELL_PARAMETERS angstrom
4.966 -2.394 0.000
4.966 2.394 0.000
-2.477 0.000 7.614
ATOMIC_POSITIONS angstrom
Pa 1.195 0.640 0.988
Pa -0.044 -0.640 4.795
Pa 7.499 0.640 2.819
Pa 6.261 -0.640 6.626
Mn 2.472 0.591 3.490
Mn 1.233 -0.591 7.296
Mn 6.222 0.591 0.317
Mn 4.984 -0.591 4.124
Ge 4.347 0.558 1.903
Ge 3.108 -0.558 5.710
```

V	90.5	Å³/f.u.
symmetry	No. 15
energy of formation	-0.301	eV/atom
E above lowest polymorph	0	meV per atom
energy	-86.9	eV for the cell shown



Record 2
A plane-wave DFT calculation with GGA-PBE was carried out for a relaxed structure of PaMn2Ge. Values from VASP.

```
&SYSTEM
  ibrav = 0, nat = 12, ntyp = 3
/
ATOMIC_SPECIES
Pa 231.04 Pa.upf
Mn 54.94 Mn.upf
Ge 72.64 Ge.upf
CELL_PARAMETERS angstrom
4.354 0.000 0.000
-2.177 3.771 0.000
0.000 0.000 12.328
ATOMIC_POSITIONS angstrom
Pa 0.000 0.000 0.000
Pa 0.000 2.514 8.219
Pa 2.177 1.257 4.109
Mn 0.000 0.000 2.256
Mn 0.000 0.000 10.072
Mn 0.000 2.514 5.963
Mn 0.000 2.514 10.475
Mn 2.177 1.257 1.853
Mn 2.177 1.257 6.366
Ge 0.000 0.000 6.164
Ge 0.000 2.514 2.055
Ge 2.177 1.257 10.274
```

V	67.5	Å³/f.u.
symmetry	No. 166
energy of formation	-0.240	eV/atom
E above lowest polymorph	0	meV per atom
energy	-100.2	eV for the cell shown



Record 3
A plane-wave DFT calculation with GGA-PBE was carried out for a relaxed structure of Pa3MnGe. Values from VASP.

```
&SYSTEM
  ibrav = 0, nat = 10, ntyp = 3
/
ATOMIC_SPECIES
Pa 231.04 Pa.upf
Mn 54.94 Mn.upf
Ge 72.64 Ge.upf
CELL_PARAMETERS angstrom
4.906 0.000 0.000
0.000 4.764 4.658
0.000 -4.764 4.658
ATOMIC_POSITIONS angstrom
Pa 0.000 0.000 0.000
Pa 0.000 0.000 4.035
Pa 2.453 -2.133 4.641
Pa 2.453 0.000 2.569
Pa 2.453 2.133 4.641
Pa 2.453 0.000 6.737
Mn 0.000 0.000 6.365
Mn 2.453 0.000 0.010
Ge 0.000 -2.390 6.957
Ge 0.000 2.390 6.957
```

V	108.9	Å³/f.u.
symmetry	No. 38
energy of formation	-0.118	eV/atom
energy	-85.7	eV for the cell shown



Record 4
A plane-wave DFT calculation with GGA-PBE was carried out for a relaxed structure of Pa3Mn2Ge2. Values from VASP.

```
&SYSTEM
  ibrav = 0, nat = 14, ntyp = 3
/
ATOMIC_SPECIES
Pa 231.04 Pa.upf
Mn 54.94 Mn.upf
Ge 72.64 Ge.upf
CELL_PARAMETERS angstrom
3.894 0.000 0.000
0.000 4.242 0.000
0.000 0.000 16.986
ATOMIC_POSITIONS angstrom
Pa 0.000 0.000 0.000
Pa 0.000 2.121 3.020
Pa 0.000 2.121 13.966
Pa 1.947 0.000 5.473
Pa 1.947 0.000 11.513
Pa 1.947 2.121 8.493
Mn 0.000 0.000 7.441
Mn 0.000 0.000 9.545
Mn 1.947 2.121 1.052
Mn 1.947 2.121 15.934
Ge 0.000 2.121 6.106
Ge 0.000 2.121 10.879
Ge 1.947 0.000 2.387
Ge 1.947 0.000 14.599
```

V	140.3	Å³/f.u.
symmetry	No. 71
energy of formation	-0.291	eV/atom
energy	-116.2	eV for the cell shown



Record 5
A plane-wave DFT calculation with GGA-PBE was carried out for a relaxed structure of Pa4MnGe3. Values from VASP.

```
&SYSTEM
  ibrav = 0, nat = 8, ntyp = 3
/
ATOMIC_SPECIES
Pa 231.04 Pa.upf
Mn 54.94 Mn.upf
Ge 72.64 Ge.upf
CELL_PARAMETERS angstrom
4.072 0.000 0.000
0.000 4.283 0.000
0.000 0.000 10.013
ATOMIC_POSITIONS angstrom
Pa 0.000 0.000 0.000
Pa 0.000 2.142 4.359
Pa 2.036 0.000 6.943
Pa 2.036 2.142 1.943
Mn 0.000 0.000 2.222
Ge 0.000 2.142 7.268
Ge 2.036 0.000 3.989
Ge 2.036 2.142 9.116
```

V	174.6	Å³/f.u.
symmetry	No. 25
energy of formation	-0.334	eV/atom
energy	-63.7	eV for the cell shown



Record 6
A plane-wave DFT calculation with GGA-PBE was carried out for a relaxed structure of Pa3MnGe3. Values from VASP.

```
&SYSTEM
  ibrav = 0, nat = 14, ntyp = 3
/
ATOMIC_SPECIES
Pa 231.04 Pa.upf
Mn 54.94 Mn.upf
Ge 72.64 Ge.upf
CELL_PARAMETERS angstrom
5.313 -2.061 0.000
5.313 2.061 0.000
-3.690 0.000 13.369
ATOMIC_POSITIONS angstrom
Pa -1.035 0.000 5.065
Pa -2.594 0.000 12.306
Pa 2.007 0.000 3.164
Pa 4.928 0.000 10.205
Pa 9.529 0.000 1.063
Pa 7.970 0.000 8.304
Mn 0.474 0.000 8.137
Mn 6.461 0.000 5.232
Ge 0.323 0.000 12.316
Ge 2.173 0.000 6.132
Ge 1.915 0.000 10.231
Ge 5.021 0.000 3.137
Ge 4.762 0.000 7.237
Ge 6.612 0.000 1.052
```

V	146.4	Å³/f.u.
symmetry	No. 12
energy of formation	-0.401	eV/atom
energy	-108.6	eV for the cell shown



Record 7
A plane-wave DFT calculation with GGA-PBE was carried out for a relaxed structure of PaMn2Ge. Values from VASP.

```
&SYSTEM
  ibrav = 0, nat = 4, ntyp = 3
/
ATOMIC_SPECIES
Pa 231.04 Pa.upf
Mn 54.94 Mn.upf
Ge 72.64 Ge.upf
CELL_PARAMETERS angstrom
4.227 0.000 0.000
0.000 4.227 0.000
0.000 0.000 3.396
ATOMIC_POSITIONS angstrom
Pa 0.000 0.000 0.000
Mn 0.000 2.114 1.698
Mn 2.114 0.000 1.698
Ge 2.114 2.114 0.000
```

V	60.7	Å³/f.u.
symmetry	No. 123
energy of formation	-0.129	eV/atom
E above lowest polymorph	111	meV per atom
energy	-33.0	eV for the cell shown



Record 8
A plane-wave DFT calculation with GGA-PBE was carried out for a relaxed structure of PaMn2Ge. Values from VASP.

```
&SYSTEM
  ibrav = 0, nat = 4, ntyp = 3
/
ATOMIC_SPECIES
Pa 231.04 Pa.upf
Mn 54.94 Mn.upf
Ge 72.64 Ge.upf
CELL_PARAMETERS angstrom
3.161 0.000 0.000
0.000 3.161 0.000
0.000 0.000 6.522
ATOMIC_POSITIONS angstrom
Pa 0.000 0.000 0.000
Mn 1.580 1.580 2.005
Mn 1.580 1.580 4.517
Ge 0.000 0.000 3.261
```

V	65.2	Å³/f.u.
symmetry	No. 123
energy of formation	0.041	eV/atom
E above lowest polymorph	281	meV per atom
energy	-32.3	eV for the cell shown



Record 9
A plane-wave DFT calculation with GGA-PBE was carried out for a relaxed structure of PaMn2Ge3. Values from VASP.

```
&SYSTEM
  ibrav = 0, nat = 12, ntyp = 3
/
ATOMIC_SPECIES
Pa 231.04 Pa.upf
Mn 54.94 Mn.upf
Ge 72.64 Ge.upf
CELL_PARAMETERS angstrom
2.094 -5.665 0.000
2.094 5.665 0.000
0.000 0.000 8.342
ATOMIC_POSITIONS angstrom
Pa 2.094 3.591 6.257
Pa 2.094 -3.591 2.086
Mn 0.000 0.000 0.000
Mn 0.000 0.000 4.171
Mn 2.094 0.142 6.257
Mn 2.094 -0.142 2.086
Ge 2.094 4.294 2.086
Ge 2.094 1.390 0.102
Ge 2.094 1.390 4.069
Ge 2.094 -1.390 4.273
Ge 2.094 -1.390 8.240
Ge 2.094 -4.294 6.257
```

V	99.0	Å³/f.u.
symmetry	No. 63
energy of formation	-0.252	eV/atom
energy	-86.4	eV for the cell shown



Record 10
A plane-wave DFT calculation with GGA-PBE was carried out for a relaxed structure of PaMnGe. Values from VASP.

```
&SYSTEM
  ibrav = 0, nat = 3, ntyp = 3
/
ATOMIC_SPECIES
Pa 231.04 Pa.upf
Mn 54.94 Mn.upf
Ge 72.64 Ge.upf
CELL_PARAMETERS angstrom
4.331 0.000 0.000
-2.165 3.750 0.000
0.000 0.000 3.438
ATOMIC_POSITIONS angstrom
Pa 0.000 0.000 0.000
Mn 0.000 2.500 1.719
Ge 2.165 1.250 1.719
```

V	55.8	Å³/f.u.
symmetry	No. 187
energy of formation	-0.304	eV/atom
energy	-24.2	eV for the cell shown



Record 11
A plane-wave DFT calculation with GGA-PBE was carried out for a relaxed structure of PaMn2Ge. Values from VASP.

```
&SYSTEM
  ibrav = 0, nat = 16, ntyp = 3
/
ATOMIC_SPECIES
Pa 231.04 Pa.upf
Mn 54.94 Mn.upf
Ge 72.64 Ge.upf
CELL_PARAMETERS angstrom
6.258 0.000 0.000
0.000 6.258 0.000
0.000 0.000 6.258
ATOMIC_POSITIONS angstrom
Pa 0.000 0.000 0.000
Pa 0.000 3.129 3.129
Pa 3.129 0.000 3.129
Pa 3.129 3.129 0.000
Mn 1.565 1.565 1.565
Mn 1.565 1.565 4.694
Mn 1.565 4.694 1.565
Mn 1.565 4.694 4.694
Mn 4.694 1.565 1.565
Mn 4.694 1.565 4.694
Mn 4.694 4.694 1.565
Mn 4.694 4.694 4.694
Ge 0.000 0.000 3.129
Ge 0.000 3.129 0.000
Ge 3.129 0.000 0.000
Ge 3.129 3.129 3.129
```

V	61.3	Å³/f.u.
symmetry	No. 225
energy of formation	-0.091	eV/atom
E above lowest polymorph	149	meV per atom
energy	-131.3	eV for the cell shown



Record 12
A plane-wave DFT calculation with GGA-PBE was carried out for a relaxed structure of Pa3MnGe5. Values from VASP.

```
&SYSTEM
  ibrav = 0, nat = 18, ntyp = 3
/
ATOMIC_SPECIES
Pa 231.04 Pa.upf
Mn 54.94 Mn.upf
Ge 72.64 Ge.upf
CELL_PARAMETERS angstrom
8.494 0.000 0.000
-4.247 7.356 0.000
0.000 0.000 5.744
ATOMIC_POSITIONS angstrom
Pa -1.645 2.850 1.436
Pa -2.602 4.506 4.308
Pa 3.291 0.000 1.436
Pa 1.645 2.850 4.308
Pa 5.203 0.000 4.308
Pa 2.602 4.506 1.436
Mn 0.000 0.000 0.000
Mn 0.000 0.000 2.872
Ge -1.079 1.868 4.308
Ge -3.168 5.488 1.436
Ge 2.157 0.000 4.308
Ge 1.079 1.868 1.436
Ge 0.000 4.904 0.000
Ge 0.000 4.904 2.872
Ge 4.247 2.452 0.000
Ge 4.247 2.452 2.872
Ge 6.337 0.000 1.436
Ge 3.168 5.488 4.308
```

V	179.4	Å³/f.u.
symmetry	No. 193
energy of formation	-0.473	eV/atom
energy	-130.0	eV for the cell shown